VASP calculation (PBE with a Hubbard U) on a relaxed structure of K3Pm3MnO8.

abc: 7.461 7.461 7.461
angles: 55.38 55.38 55.38
Atoms (fractional coordinates):
K: 0.000 0.500 0.500
K: 0.500 0.000 0.500
K: 0.500 0.500 0.000
Pm: 0.000 0.000 0.500
Pm: 0.000 0.500 0.000
Pm: 0.500 0.000 0.000
Mn: 0.500 0.500 0.500
O: 0.230 0.230 0.230
O: 0.267 0.702 0.702
O: 0.298 0.298 0.733
O: 0.298 0.733 0.298
O: 0.702 0.267 0.702
O: 0.702 0.702 0.267
O: 0.733 0.298 0.298
O: 0.770 0.770 0.770

space group: R-3m (166)
calculated total energy: -6.669 eV/atom